# 1
# CePr2Au | Alexandria via LeMat-Bulk | PBE | optimized geometry
data_CePr2Au
_cell_length_a 7.551
_cell_length_b 7.551
_cell_length_c 7.551
_cell_angle_alpha 90.00
_cell_angle_beta 90.00
_cell_angle_gamma 90.00
_space_group_name_H-M_alt 'F m -3 m'
_space_group_IT_number 225
_space_group_name_Hall '-F 4 2 3'
loop_
_atom_site_label
_atom_site_fract_x
_atom_site_fract_y
_atom_site_fract_z
_atom_site_occupancy
Ce1 0.000 0.000 0.000 1
Pr1 0.250 0.250 0.250 1
Au1 0.000 0.000 0.500 1
# E_tot	-76.79	eV per cell
# density of states at the Fermi level	32.5	states/eV/cell
# calculated formation energy	-0.11	eV per atom
# ρ	9547	kg/m3
# polymorph energy (0 for the lowest one)	202	meV per atom
# total magnetic moment	1.326	μB per formula unit

=====

# 2
# Sb2Rh | Alexandria via LeMat-Bulk | PBE | optimized geometry
data_Sb2Rh
_cell_length_a 4.573
_cell_length_b 4.573
_cell_length_c 3.341
_cell_angle_alpha 90.00
_cell_angle_beta 90.00
_cell_angle_gamma 90.00
_space_group_name_H-M_alt 'P 4/m m m'
_space_group_IT_number 123
_space_group_name_Hall '-P 4 2'
loop_
_atom_site_label
_atom_site_fract_x
_atom_site_fract_y
_atom_site_fract_z
_atom_site_occupancy
Sb1 0.000 0.500 0.000 1
Rh1 0.000 0.000 0.500 1
# E_tot	-15.63	eV per cell
# density of states at the Fermi level	2.2	states/eV/cell
# ρ	8234	kg/m3
# raw formation energy	-0.037	eV/f.u.
# total magnetic moment	0.000	μB per formula unit

=====

# 3
# CdAuI4 | Alexandria via LeMat-Bulk | PBE | optimized geometry
data_CdAuI4
_cell_length_a 7.456
_cell_length_b 7.456
_cell_length_c 9.163
_cell_angle_alpha 90.00
_cell_angle_beta 90.00
_cell_angle_gamma 90.00
_space_group_name_H-M_alt 'P -4 2 c'
_space_group_IT_number 112
loop_
_space_group_symop_operation_xyz
'x,y,z'
'y,-x,-z'
'-x,-y,z'
'-y,x,-z'
'x,-y,-z+1/2'
'y,x,z+1/2'
'-x,y,-z+1/2'
'-y,-x,z+1/2'
loop_
_atom_site_label
_atom_site_fract_x
_atom_site_fract_y
_atom_site_fract_z
_atom_site_occupancy
Cd1 0.000 0.000 0.000 1
Au1 0.000 0.500 0.250 1
I1 0.238 0.249 0.357 1
# E_tot	-23.57	eV per cell
# density of states at the Fermi level	8.8	states/eV/cell
# ρ	5327	kg/m3
# raw formation energy	-1.394	eV/f.u.
# polymorph energy (0 for the lowest one)	22	meV per atom
# total magnetic moment	0.772	μB per formula unit